InReS2 after structural relaxation, computed with PBE.

abc: 3.200 3.200 27.457
angles: 90.00 90.00 120.00
Element x y z (fractional)
In 0.000 0.000 0.000
In 0.333 0.667 0.667
In 0.667 0.333 0.333
Re 0.000 0.000 0.500
Re 0.333 0.667 0.167
Re 0.667 0.333 0.833
S 0.000 0.000 0.109
S 0.000 0.000 0.891
S 0.333 0.667 0.557
S 0.333 0.667 0.776
S 0.667 0.333 0.224
S 0.667 0.333 0.443

magnetic moment	0.00	μB/f.u.
formation energy from raw total energies	-15	kJ per mole of atoms
symmetry	R-3m